The following is a DFT calculation (PBE-GGA) of ScZnAu after structural relaxation.

The value obtained for the total magnetic moment is 0.00 μB/cell. As for the crystal system: cubic. For the energy of formation, the calculation gives -1.27 eV/f.u. The energy comes out at -4.049 eV/atom.

It has space group F-43m (No. 216), with a = 6.342 Å, b = 6.342 Å, c = 6.342 Å, α = 90.00°, β = 90.00° and γ = 90.00°. The inequivalent atoms are Sc at (0.000, 0.000, 0.000), Zn at (0.000, 0.000, 0.500) and Au at (0.250, 0.250, 0.750).

***

The following is a DFT calculation (PBE-GGA) of ScZn11Au after structural relaxation.

The value obtained for the total magnetic moment is 0.00 μB/cell. As for the crystal system: monoclinic. For the energy of formation, the calculation gives -1.97 eV/f.u. The energy comes out at -1.969 eV/atom.

It has space group C2/m (No. 12), with a = 5.273 Å, b = 12.492 Å, c = 6.762 Å, α = 90.00°, β = 112.53° and γ = 90.00°. The inequivalent atoms are Sc at (0.000, 0.000, 0.000), Zn at (0.000, 0.500, 0.500), Zn at (0.097, 0.392, 0.209), Zn at (0.178, 0.178, 0.349), Zn at (0.250, 0.250, 0.000) and Au at (0.000, 0.000, 0.500).

***

The following is a DFT calculation (PBE-GGA) of ScZnAu after structural relaxation.

The value obtained for the total magnetic moment is 0.00 μB/cell. As for the crystal system: monoclinic. For the energy of formation, the calculation gives -1.75 eV/f.u. The energy comes out at -4.210 eV/atom.

It has space group C2/m (No. 12), with a = 9.987 Å, b = 4.504 Å, c = 6.173 Å, α = 90.00°, β = 128.16° and γ = 90.00°. The inequivalent atoms are Sc at (0.001, 0.000, 0.248), Zn at (0.159, 0.500, 0.660) and Au at (0.177, 0.500, 0.176).

***

The following is a DFT calculation (PBE-GGA) of ScZnAu6 after structural relaxation.

The value obtained for the total magnetic moment is 0.00 μB/cell. As for the crystal system: tetragonal. For the energy of formation, the calculation gives -2.48 eV/f.u. The energy comes out at -3.718 eV/atom.

It has space group P4/mmm (No. 123), with a = 4.185 Å, b = 4.185 Å, c = 8.194 Å, α = 90.00°, β = 90.00° and γ = 90.00°. The inequivalent atoms are Sc at (0.000, 0.000, 0.000), Zn at (0.000, 0.000, 0.500), Au at (0.000, 0.500, 0.253), Au at (0.500, 0.500, 0.000) and Au at (0.500, 0.500, 0.500).

***

The following is a DFT calculation (PBE-GGA) of ScZn4Au2 after structural relaxation.

The value obtained for the total magnetic moment is 0.00 μB/cell. As for the crystal system: tetragonal. For the energy of formation, the calculation gives -2.25 eV/f.u. The energy comes out at -2.890 eV/atom.

It has space group P4_2/mnm (No. 136), with a = 7.464 Å, b = 7.464 Å, c = 4.370 Å, α = 90.00°, β = 90.00° and γ = 90.00°. The inequivalent atoms are Sc at (0.000, 0.000, 0.000), Zn at (0.114, 0.365, 0.500) and Au at (0.186, 0.814, 0.500).

***

The following is a DFT calculation (PBE-GGA) of Sc5ZnAu4 after structural relaxation.

The value obtained for the total magnetic moment is 0.00 μB/cell. As for the crystal system: tetragonal. For the energy of formation, the calculation gives -7.25 eV/f.u. The energy comes out at -5.329 eV/atom.

It has space group P4/mmm (No. 123), with a = 3.400 Å, b = 3.400 Å, c = 16.903 Å, α = 90.00°, β = 90.00° and γ = 90.00°. The inequivalent atoms are Sc at (0.000, 0.000, 0.000), Sc at (0.000, 0.000, 0.202), Sc at (0.000, 0.000, 0.403), Zn at (0.500, 0.500, 0.500), Au at (0.500, 0.500, 0.102) and Au at (0.500, 0.500, 0.305).

***

The following is a DFT calculation (PBE-GGA) of ScZnAu3 after structural relaxation.

The value obtained for the total magnetic moment is 0.00 μB/cell. As for the crystal system: orthorhombic. As for the energy relative to the lowest polymorph listed for this composition: 0 meV per atom. For the energy of formation, the calculation gives -2.26 eV/f.u. The energy comes out at -3.939 eV/atom.

It has space group Pmmn (No. 59, origin choice 2), with a = 4.459 Å, b = 6.610 Å, c = 6.314 Å, α = 90.00°, β = 90.00° and γ = 90.00°. The inequivalent atoms are Sc at (0.250, 0.250, 0.244), Zn at (0.250, 0.750, 0.439), Au at (0.250, 0.041, 0.713) and Au at (0.250, 0.750, 0.037).

***

The following is a DFT calculation (PBE-GGA) of ScZn2Au after structural relaxation.

The value obtained for the total magnetic moment is 0.01 μB/cell. As for the crystal system: monoclinic. For the energy of formation, the calculation gives -0.82 eV/f.u. The energy comes out at -3.244 eV/atom.

It has space group C2/m (No. 12), with a = 5.629 Å, b = 9.720 Å, c = 2.929 Å, α = 90.00°, β = 116.04° and γ = 90.00°. The inequivalent atoms are Sc at (0.000, 0.000, 0.000), Zn at (0.250, 0.250, 0.500) and Au at (0.000, 0.500, 0.000).

***

The following is a DFT calculation (PBE-GGA) of Sc2ZnAu2 after structural relaxation.

The value obtained for the total magnetic moment is 0.00 μB/cell. As for the crystal system: orthorhombic. For the energy of formation, the calculation gives -2.62 eV/f.u. The energy comes out at -4.623 eV/atom.

It has space group Ibam (No. 72), with a = 6.843 Å, b = 11.276 Å, c = 5.357 Å, α = 90.00°, β = 90.00° and γ = 90.00°. The inequivalent atoms are Sc at (0.190, 0.169, 0.000), Zn at (0.000, 0.500, 0.250) and Au at (0.192, 0.094, 0.500).

***

The following is a DFT calculation (PBE-GGA) of Sc2Zn3Au2 after structural relaxation.

The value obtained for the total magnetic moment is 0.00 μB/cell. As for the crystal system: monoclinic. As for the energy relative to the lowest polymorph listed for this composition: 0 meV per atom. For the energy of formation, the calculation gives -3.62 eV/f.u. The energy comes out at -3.808 eV/atom.

It has space group C2/m (No. 12), with a = 9.418 Å, b = 4.405 Å, c = 6.469 Å, α = 90.00°, β = 109.74° and γ = 90.00°. The inequivalent atoms are Sc at (0.145, 0.000, 0.264), Zn at (0.000, 0.500, 0.500), Zn at (0.106, 0.500, 0.928) and Au at (0.155, 0.000, 0.711).

***

The following is a DFT calculation (PBE-GGA) of Sc5Zn4Au after structural relaxation.

The value obtained for the total magnetic moment is 0.00 μB/cell. As for the crystal system: tetragonal. For the energy of formation, the calculation gives -4.64 eV/f.u. The energy comes out at -4.467 eV/atom.

It has space group P4/mmm (No. 123), with a = 3.382 Å, b = 3.382 Å, c = 16.602 Å, α = 90.00°, β = 90.00° and γ = 90.00°. The inequivalent atoms are Sc at (0.000, 0.000, 0.000), Sc at (0.000, 0.000, 0.200), Sc at (0.000, 0.000, 0.398), Zn at (0.500, 0.500, 0.100), Zn at (0.500, 0.500, 0.297) and Au at (0.500, 0.500, 0.500).

***

The following is a DFT calculation (PBE-GGA) of ScZn2Au after structural relaxation.

The value obtained for the total magnetic moment is 0.00 μB/cell. As for the crystal system: cubic. For the energy of formation, the calculation gives -1.80 eV/f.u. The energy comes out at -3.488 eV/atom.

It has space group Fm-3m (No. 225), with a = 6.429 Å, b = 6.429 Å, c = 6.429 Å, α = 90.00°, β = 90.00° and γ = 90.00°. The inequivalent atoms are Sc at (0.000, 0.000, 0.000), Zn at (0.250, 0.250, 0.250) and Au at (0.000, 0.000, 0.500).